# As2IrCl PBE optimized geometry
data_As2IrCl
_chemical_formula_sum 'As2 Ir1 Cl1'
_cell_length_a 6.1339
_cell_length_b 6.1339
_cell_length_c 6.1339
_cell_angle_alpha 152.07
_cell_angle_beta 136.01
_cell_angle_gamma 52.92
_space_group_name_H-M_alt 'P 1'
_space_group_IT_number 1
loop_
_space_group_symop_operation_xyz
'x,y,z'
loop_
_atom_site_label
_atom_site_fract_x
_atom_site_fract_y
_atom_site_fract_z
As1 0.1936 0.1936 0.0000
As2 0.8064 0.8064 0.0000
Ir1 0.0000 0.5000 0.5000
Cl1 0.5000 0.0000 0.5000
# polymorph energy (0 for the lowest one)	0.572	eV/atom
# uncorrected formation energy	0.33	eV per atom


VASP calculation (PBE) on CsMn2Ge2 after structural relaxation.

The structure in CIF format:
```
data_CsMn2Ge2
_chemical_formula_sum 'Cs1 Mn2 Ge2'
_cell_length_a 8.1318
_cell_length_b 8.1318
_cell_length_c 8.1318
_cell_angle_alpha 150.84
_cell_angle_beta 150.84
_cell_angle_gamma 41.71
_space_group_name_H-M_alt 'P 1'
_space_group_IT_number 1
loop_
_space_group_symop_operation_xyz
'x,y,z'
loop_
_atom_site_label
_atom_site_fract_x
_atom_site_fract_y
_atom_site_fract_z
Cs1 0.0000 0.0000 0.0000
Mn1 0.2500 0.7500 0.5000
Mn2 0.7500 0.2500 0.5000
Ge1 0.3368 0.3368 0.0000
Ge2 0.6632 0.6632 0.0000
```


no.,M_tot (μB per formula unit),E (eV per atom)
1,0.0,-4.68
2,5.0,-5.64